Below is Ba2SmGaSe5 after structural relaxation, with properties calculated at the GGA-PBE level.

## Properties
- DFT total energy (eV/atom) = -4.87
- DOS at the Fermi energy (states/eV/f.u.) = 0.00
- symmetry = P-1, No. 2
- relative energy among the computed polymorphs (eV/atom) = 0.000
- formation energy from raw total energies (eV per atom) = -1.651

a = 7.443 Å, b = 8.871 Å, c = 9.616 Å
α = 103.66°, β = 103.06°, γ = 107.57°
Element x y z (fractional)
Se (0.987, 0.151, 0.687)
Se (0.990, 0.686, 0.682)
Ga (0.192, 0.128, 0.313)
Se (0.708, 0.906, 0.922)
Se (0.010, 0.314, 0.318)
Se (0.298, 0.591, 0.055)
Se (0.013, 0.849, 0.313)
Se (0.292, 0.094, 0.078)
Ba (0.342, 0.511, 0.706)
Ba (0.658, 0.489, 0.294)
Sm (0.997, 0.731, 0.997)
Sm (0.003, 0.269, 0.003)
Ga (0.808, 0.872, 0.687)
Se (0.702, 0.409, 0.945)
Ba (0.366, 0.021, 0.707)
Se (0.508, 0.259, 0.507)
Se (0.492, 0.741, 0.493)
Ba (0.634, 0.979, 0.293)